No. 1
Computed, not measured: crystalline BaNbAgSe4 at its relaxed geometry at the PBE level of DFT.

Results
DOS at the Fermi energy ... 0.000 states/eV/atom
E ... -5.044 eV/atom
SG ... P2_1/m

```
BaNbAgSe4
1.0
6.307 0.000 0.131
0.000 7.952 0.000
-2.306 0.000 8.612
Se Nb Ba Ag
8 2 2 2
Cartesian
1.677 5.964 4.736
5.433 4.011 2.454
1.953 1.988 8.073
5.433 7.918 2.454
2.324 1.988 4.007
2.047 5.964 0.670
-1.433 0.034 6.289
-1.433 3.942 6.289
0.548 5.964 2.614
3.453 1.988 6.129
1.242 1.988 0.787
2.758 5.964 7.956
0.395 1.988 5.807
3.605 5.964 2.936
```

No. 2
Computed, not measured: crystalline Ba2SrNbAg at its relaxed geometry at the PBE level of DFT.

Results
DOS at the Fermi energy ... 0.927 states/eV/atom
E ... -2.908 eV/atom
SG ... P4/mmm

```
Ba2SrNbAg
1.0
6.003 0.000 0.000
0.000 5.966 0.000
0.000 0.000 6.003
Ba Nb Ag Sr
2 1 1 1
Cartesian
0.000 0.000 3.001
3.001 0.000 0.000
0.000 0.000 0.000
3.001 2.983 3.001
0.000 2.983 0.000
```

No. 3
Computed, not measured: crystalline BaNb2AgW at its relaxed geometry at the PBE level of DFT.

Results
DOS at the Fermi energy ... 0.696 states/eV/atom
E ... -6.192 eV/atom
SG ... P4/mmm

```
BaNb2AgW
1.0
-3.074 3.831 0.177
-1.339 -1.351 5.969
3.688 2.891 1.482
Nb W Ba Ag
2 1 1 1
Cartesian
-1.537 1.915 0.089
1.844 1.445 0.741
0.000 0.000 0.000
-0.670 -0.676 2.985
-0.363 2.685 3.814
```

No. 4
Computed, not measured: crystalline BaYNbAg2 at its relaxed geometry at the PBE level of DFT.

Results
DOS at the Fermi energy ... 1.114 states/eV/atom
E ... -3.043 eV/atom
SG ... P4/mmm

```
BaYNbAg2
1.0
-4.985 1.584 -1.694
-1.378 -5.604 -1.185
-1.930 -0.607 5.113
Ag Ba Y Nb
2 1 1 1
Cartesian
-2.493 0.792 -0.847
-0.965 -0.303 2.556
0.000 0.000 0.000
-0.689 -2.802 -0.593
-4.147 -2.313 1.117
```